Ba5TlAu | GGA-PBE | optimized geometry

Lattice parameters (Å, degrees): 8.2553 8.2553 12.8425 70.86 70.86 62.57
Last column: nearest neighbours and their distance in Å.
Atoms (fractional coordinates):
Tl: 0.5409 0.4591 0.2500  5 Ba 3.54-3.76
Tl: 0.4591 0.5409 0.7500  5 Ba 3.54-3.76
Ba: 0.7680 0.4470 0.4903  1 Au 3.26, 1 Tl 3.54
Ba: 0.0598 0.3864 0.8599  1 Au 3.28
Ba: 0.9547 0.0453 0.2500  2 Au 3.23, 1 Tl 3.55
Ba: 0.9402 0.6136 0.1401  1 Au 3.28
Ba: 0.0453 0.9547 0.7500  2 Au 3.23, 1 Tl 3.55
Ba: 0.5530 0.2320 0.0097  1 Au 3.26, 1 Tl 3.54
Ba: 0.6136 0.9402 0.6401  1 Au 3.28
Ba: 0.3864 0.0598 0.3599  1 Au 3.28
Ba: 0.2320 0.5530 0.5097  1 Au 3.26, 1 Tl 3.54
Ba: 0.4470 0.7680 0.9903  1 Au 3.26, 1 Tl 3.54
Au: 0.0000 0.0000 0.5000  6 Ba 3.23-3.28
Au: 0.0000 0.0000 0.0000  6 Ba 3.23-3.28

Calculated values
Space-group type: C2/c

***

Ba2TlAu | GGA-PBE | optimized geometry

Lattice parameters (Å, degrees): 10.2192 10.2192 10.2192 34.38 155.87 155.87
Last column: nearest neighbours and their distance in Å.
Atoms (fractional coordinates):
Tl: 0.0000 0.5000 0.5000  4 Au 3.02
Ba: 0.0000 0.8419 0.8419  1 Au 3.09
Ba: 0.0000 0.1581 0.1581  1 Au 3.09
Au: 0.0000 0.0000 0.0000  4 Tl 3.02, 2 Ba 3.09

Calculated values
Space-group type: I4/mmm

***

BaTl3Au3 | GGA-PBE | optimized geometry

Lattice parameters (Å, degrees): 4.8932 9.7255 9.7261 120.01 90.00 90.00
Last column: nearest neighbours and their distance in Å.
Atoms (fractional coordinates):
Ba: 0.2500 0.6666 0.3333  9 Au 3.34-3.45
Ba: 0.7500 0.3334 0.6667  9 Au 3.34-3.45
Au: 0.2500 0.5415 0.9443  2 Au 2.95, 4 Tl 3.04-3.18
Au: 0.2500 0.0557 0.5972  2 Au 2.95, 4 Tl 3.04-3.18
Au: 0.7500 0.5971 0.5414  2 Au 2.95, 4 Tl 3.04-3.18
Au: 0.2500 0.4029 0.4586  2 Au 2.95, 4 Tl 3.04-3.18
Au: 0.7500 0.9443 0.4028  2 Au 2.95, 4 Tl 3.04-3.18
Au: 0.7500 0.4585 0.0557  2 Au 2.95, 4 Tl 3.04-3.18
Tl: 0.2500 0.2220 0.9580  4 Au 3.04-3.18
Tl: 0.2500 0.7362 0.7781  4 Au 3.04-3.18
Tl: 0.7500 0.7780 0.0420  4 Au 3.04-3.18
Tl: 0.7500 0.9581 0.7360  4 Au 3.04-3.18
Tl: 0.7500 0.2638 0.2219  4 Au 3.04-3.18
Tl: 0.2500 0.0419 0.2640  4 Au 3.04-3.18

Calculated values
Space-group type: P6_3/m

***

no.,distance to the lowest polymorph of the same formula (meV per atom),energy of formation from the pure elements (meV per atom),total moment (μB/cell)
1,0,-277,0.0
2,396,-138,0.0
3,0,-307,0.0